[1]
An optimized crystal structure of SrTa2S6. Source: Alexandria via LeMat-Bulk, functional PBE-GGA.

Calculated values
- Energy: -6.69 eV/atom
- Theoretical density: 4.53 g/cm³
- Volume: 236 Å³ per cell
- Symmetry: C2/m, No. 12
- Uncorrected formation energy: -1.11 eV per atom
- Crystal system: monoclinic
- M_tot: 0.000 μB per atom

a = 4.6993 Å, b = 6.4707 Å, c = 8.8958 Å
α = 71.46°, β = 74.68°, γ = 68.71°
Closest atoms and distances in Å follow each position.
Atoms (fractional coordinates):
S  0.3278  0.7193  0.6252  1 Ta 2.28
S  0.9900  0.8404  0.1797  1 Ta 2.30
Ta  0.8234  0.2339  0.1193  4 S 2.28-2.47
Sr  0.0000  0.5000  0.5000  6 S 3.00-3.02
S  0.0100  0.1596  0.8203  1 Ta 2.30
S  0.6722  0.2807  0.3748  1 Ta 2.28
S  0.3050  0.3396  0.0505  3 Ta 2.47-2.62
S  0.6950  0.6604  0.9495  3 Ta 2.47-2.62
Ta  0.1766  0.7661  0.8807  4 S 2.28-2.47

[2]
An optimized crystal structure of Er2CuTc3. Source: Alexandria via LeMat-Bulk, functional PBE-GGA.

Calculated values
- Energy: -7.61 eV/atom
- Theoretical density: 10.70 g/cm³
- DFT formation energy: -0.2235 eV per atom
- Volume: 107 Å³ per cell
- Symmetry: C2/m, No. 12
- Crystal system: monoclinic
- M_tot: 0.000 μB per atom

a = 5.2297 Å, b = 5.2297 Å, c = 5.4496 Å
α = 89.94°, β = 118.59°, γ = 120.16°
Closest atoms and distances in Å follow each position.
Atoms (fractional coordinates):
Tc  0.0000  0.0000  0.5000  4 Tc 2.61, 2 Cu 2.72
Er  0.7558  0.3779  0.1337  3 Cu 3.08, 9 Tc 3.09-3.25, 4 Er 3.25-3.33
Tc  0.5000  0.5000  0.5000  4 Tc 2.61, 2 Cu 2.72
Er  0.2442  0.6221  0.8663  3 Cu 3.08, 9 Tc 3.09-3.25, 4 Er 3.25-3.33
Cu  0.0000  0.0000  0.0000  6 Tc 2.72-2.73
Tc  0.5000  0.0000  0.5000  4 Tc 2.61, 2 Cu 2.73

[3]
An optimized crystal structure of MgTlInS3. Source: Alexandria via LeMat-Bulk, functional PBE-GGA.

Calculated values
- Energy: -3.93 eV/atom
- Theoretical density: 4.68 g/cm³
- Volume: 312 Å³ per cell
- Symmetry: P2_1/m, No. 11
- Uncorrected formation energy: -0.75 eV per atom
- Crystal system: monoclinic
- M_tot: 0.000 μB per atom

a = 3.8612 Å, b = 7.7734 Å, c = 11.2119 Å
α = 112.04°, β = 90.00°, γ = 90.00°
Closest atoms and distances in Å follow each position.
Atoms (fractional coordinates):
In  0.2500  0.1375  0.6463  3 S 2.45-2.51
Mg  0.7500  0.3180  0.9144  5 S 2.47-2.68
In  0.7500  0.8625  0.3537  3 S 2.45-2.51
S  0.2500  0.0706  0.8430  1 In 2.45, 2 Mg 2.63
Mg  0.2500  0.6820  0.0856  5 S 2.47-2.68
S  0.7500  0.4936  0.1490  3 Mg 2.47-2.68
S  0.2500  0.7824  0.4657  3 In 2.51-2.74
S  0.2500  0.5064  0.8510  3 Mg 2.47-2.68
S  0.7500  0.2176  0.5343  3 In 2.51-2.74
S  0.7500  0.9294  0.1570  1 In 2.45, 2 Mg 2.63
Tl  0.2500  0.3038  0.2726  4 S 3.06-3.32
Tl  0.7500  0.6962  0.7274  4 S 3.06-3.32

[4]
An optimized crystal structure of CdTeCl2. Source: Alexandria via LeMat-Bulk, functional PBE-GGA.

Calculated values
- Energy above the lowest structure with this stoichiometry: 260 meV/atom
- Energy: -2.22 eV/atom
- Theoretical density: 4.98 g/cm³
- Volume: 104 Å³ per cell
- Symmetry: C2/m, No. 12
- Uncorrected formation energy: -0.28 eV per atom
- Crystal system: monoclinic
- M_tot: 0.000 μB per atom

a = 4.7596 Å, b = 5.6276 Å, c = 4.7397 Å
α = 66.96°, β = 85.98°, γ = 113.16°
Closest atoms and distances in Å follow each position.
Atoms (fractional coordinates):
Cl  0.0000  0.0000  0.0000  2 Te 2.88, 2 Cd 2.88
Cd  0.5000  0.5000  0.0000  4 Cl 2.88
Cl  0.5000  0.0000  0.5000  2 Cd 2.88, 2 Te 2.88
Te  0.0000  0.5000  0.5000  4 Cl 2.88